[1]
The following is a DFT calculation (GGA-PBE) of a relaxed structure of As3Ru.

Magnetization in μB per formula unit: 0.000
Total energy in eV/atom: -5.45
ΔE to the lowest computed polymorph in meV/atom: 377.1
Formation energy from the elements in eV/atom: 0.3525

Lattice parameters (Å, degrees): 7.5066 7.5066 3.5827 90.00 90.00 122.73
With the nearest neighbours (Å) after each atom.
Fractional coordinates of all 8 atoms:
As 0.9150 0.0850 0.2500  6 As 2.71-2.87
As 0.9291 0.5928 0.2500  1 Ru 2.37
Ru 0.5582 0.4418 0.2500  2 Ru 2.36, 2 As 2.37
As 0.0709 0.4072 0.7500  1 Ru 2.37
As 0.5928 0.9291 0.7500  1 Ru 2.37
As 0.4072 0.0709 0.2500  1 Ru 2.37
Ru 0.4418 0.5582 0.7500  2 Ru 2.36, 2 As 2.37
As 0.0850 0.9150 0.7500  6 As 2.71-2.87

[2]
The following is a DFT calculation (GGA-PBE) of a relaxed structure of CsTbS2O8.

Magnetization in μB per formula unit: 0.000
Total energy in eV/atom: -6.56
Formation energy (no corrections) in kcal/mol of atoms: -48.67

Lattice parameters (Å, degrees): 5.4503 5.4503 8.8784 90.00 90.00 120.00
With the nearest neighbours (Å) after each atom.
Fractional coordinates of all 12 atoms:
Cs 0.0000 0.0000 0.0000  12 O 3.33-3.56
O 0.7615 0.1374 0.3460  1 S 1.50
O 0.6667 0.3333 0.1219  1 S 1.46
O 0.1374 0.3759 0.6540  1 S 1.50
S 0.3333 0.6667 0.7137  4 O 1.46-1.50
O 0.3333 0.6667 0.8781  1 S 1.46
S 0.6667 0.3333 0.2863  4 O 1.46-1.50
Tb 0.0000 0.0000 0.5000  6 O 2.26
O 0.6241 0.7615 0.6540  1 S 1.50
O 0.8626 0.6241 0.3460  1 S 1.50
O 0.2385 0.8626 0.6540  1 S 1.50
O 0.3759 0.2385 0.3460  1 S 1.50

[3]
The following is a DFT calculation (GGA-PBE) of a relaxed structure of Er6AuC3.

Magnetization in μB per formula unit: 0.354
Total energy in eV/atom: -6.24
Formation energy from the elements in eV/atom: -0.4100

Lattice parameters (Å, degrees): 3.6014 10.7475 11.2451 108.69 90.00 90.00
With the nearest neighbours (Å) after each atom.
Fractional coordinates of all 20 atoms:
Er 0.7500 0.1376 0.0513  3 C 2.41-2.51
Er 0.7500 0.1793 0.5668  3 C 2.40-2.42
Er 0.2500 0.6410 0.1319  2 C 2.48
Er 0.2500 0.0561 0.7639  3 C 2.43-2.46
Er 0.2500 0.8207 0.4332  3 C 2.40-2.42
Er 0.7500 0.7550 0.6697  3 C 2.41-2.51
Er 0.7500 0.5366 0.3767  4 C 2.53-2.67
Er 0.2500 0.4634 0.6233  4 C 2.53-2.67
Au 0.2500 0.3684 0.1108  4 Er 2.86-3.15
C 0.2500 0.2629 0.7145  6 Er 2.42-2.67
C 0.2500 0.6521 0.5313  6 Er 2.40-2.55
Er 0.2500 0.2450 0.3303  3 C 2.41-2.51
C 0.7500 0.3479 0.4687  6 Er 2.40-2.55
Au 0.7500 0.6316 0.8892  4 Er 2.86-3.15
Er 0.2500 0.8624 0.9487  3 C 2.41-2.51
C 0.2500 0.0376 0.1466  6 Er 2.41-2.51
C 0.7500 0.7371 0.2855  6 Er 2.42-2.67
Er 0.7500 0.3590 0.8681  2 C 2.48
Er 0.7500 0.9439 0.2361  3 C 2.43-2.46
C 0.7500 0.9624 0.8534  6 Er 2.41-2.51

[4]
The following is a DFT calculation (GGA-PBE) of a relaxed structure of ScTl2Cl.

Magnetization in μB per formula unit: 0.317
Total energy in eV/atom: -3.59
Formation energy (no corrections) in kcal/mol of atoms: -8.38

Lattice parameters (Å, degrees): 3.3639 5.4571 5.5654 90.00 90.00 90.00
With the nearest neighbours (Å) after each atom.
Fractional coordinates of all 4 atoms:
Tl 0.0000 0.0000 0.0000  6 Tl 3.21-3.36, 4 Cl 3.25
Sc 0.0000 0.5000 0.5000  4 Cl 3.21, 4 Tl 3.25, 2 Sc 3.36
Tl 0.5000 0.5000 0.0000  6 Tl 3.21-3.36, 4 Sc 3.25
Cl 0.5000 0.0000 0.5000  4 Sc 3.21, 4 Tl 3.25, 2 Cl 3.36